Material: LaErNi2B2N2
Method: DFT, PBE
State: optimized geometry

## Properties
ρ = 8.10 g/cm3
raw total energy = -58.6 eV/cell

a b c (Å): 3.592 3.592 7.520
angles (deg): 90.00 90.00 90.00
Sites, in units of the cell vectors:
B1 0.000 0.000 0.343
B2 0.500 0.500 0.653
Er1 0.000 0.000 0.831
La1 0.500 0.500 0.172
N1 0.000 0.000 0.147
N2 0.500 0.500 0.846
Ni1 0.500 0.000 0.504
Ni2 0.000 0.500 0.504